{
  "formula": "MnZnTc2",
  "functional": "PBE",
  "state": "optimized geometry",
  "delta_e_f_mev_per_atom": 91,
  "lattice_angstrom": [[2.7519, 0.0000, 0.0000], [0.0000, 3.8375, 0.0000], [0.0000, 0.0000, 5.3231]],
  "species": ["Mn", "Tc", "Tc", "Zn"],
  "frac_coords": [[0.5000, 0.5000, 0.7436], [0.0000, 0.0000, 0.0083], [0.5000, 0.5000, 0.2384], [0.0000, 0.0000, 0.5097]]
}